The following is a DFT calculation (PBE+U) of a relaxed Cs3Mo2PbO8 crystal.

a b c (Å): 6.5233 6.5233 8.5054
angles (deg): 90.00 90.00 120.00
Fractional coordinates of all 14 atoms:
Cs: 0.3333 0.6667 0.6784
Cs: 0.6667 0.3333 0.3216
Cs: 0.0000 0.0000 0.0000
Mo: 0.3333 0.6667 0.2322
Mo: 0.6667 0.3333 0.7678
Pb: 0.0000 0.0000 0.5000
O: 0.3333 0.6667 0.0226
O: 0.6667 0.3333 0.9774
O: 0.1805 0.8195 0.3087
O: 0.8195 0.1805 0.6913
O: 0.1805 0.3611 0.3087
O: 0.8195 0.6389 0.6913
O: 0.6389 0.8195 0.3087
O: 0.3611 0.1805 0.6913

As for the density: 4.90 g/cm3. Its total energy is -5.953 eV/atom. As for the symmetry: P-3m1 (164).